GdSi | GGA-PBE | relaxed

The structure in POSCAR format:
```
GdSi
1.0
-0.9735 -1.9194 4.0851
-4.3717 -0.2034 1.4721
-2.1891 -4.0615 0.1795
Gd Si
1 1
Direct
0.0000 0.0000 0.0000 Gd
0.2500 0.2500 0.2500 Si
```

## Properties
- total magnetic moment (Bohr magnetons per cell) = 0.0
- space group = No. 216
- energy (eV/atom) = -4.701

---

HoTm2Mg3CuHg2 | GGA-PBE | relaxed

The structure in POSCAR format:
```
HoTm2Mg3CuHg2
1.0
-3.1899 0.2137 2.5684
-3.8778 -4.9130 -4.4072
4.4098 -2.5965 5.6930
Cu Hg Tm Mg Ho
1 2 2 3 1
Direct
0.0000 0.9988 0.9988 Cu
0.5000 0.3327 0.6680 Hg
0.5000 0.6680 0.3327 Hg
0.0000 0.0000 0.5973 Tm
0.0000 0.5973 0.0000 Tm
0.5000 0.7622 0.7622 Mg
0.5000 0.9996 0.2377 Mg
0.5000 0.2377 0.9996 Mg
0.0000 0.4036 0.4036 Ho
```

## Properties
- total magnetic moment (Bohr magnetons per cell) = 0.0
- space group = No. 38
- energy (eV/atom) = -2.831

---

MgNbO3 | GGA-PBE | relaxed

The structure in POSCAR format:
```
MgNbO3
1.0
2.6895 1.5528 4.5682
-2.6895 1.5528 4.5682
0.0000 -3.1056 4.5682
Nb Mg O
2 2 6
Direct
0.5000 0.5000 0.5000 Nb
0.0000 0.0000 0.0000 Nb
0.2500 0.2500 0.2500 Mg
0.7500 0.7500 0.7500 Mg
0.7500 0.3850 0.1150 O
0.8850 0.2500 0.6150 O
0.1150 0.7500 0.3850 O
0.6150 0.8850 0.2500 O
0.3850 0.1150 0.7500 O
0.2500 0.6150 0.8850 O
```

## Properties
- total magnetic moment (Bohr magnetons per cell) = 2.0
- space group = No. 167
- energy (eV/atom) = -7.711

---

La2Tb2O5 | GGA-PBE | relaxed

The structure in POSCAR format:
```
La2Tb2O5
1.0
-5.2808 8.2632 1.6192
-1.5331 -0.2626 -3.6601
-3.0001 -2.1944 1.4141
O La Tb
5 2 2
Direct
0.1346 0.5000 0.0000 O
0.5000 0.5000 0.5000 O
0.1346 0.0000 0.5000 O
0.8654 0.0000 0.5000 O
0.8654 0.5000 0.0000 O
0.2406 0.5000 0.5000 La
0.7594 0.5000 0.5000 La
0.0000 0.0000 0.0000 Tb
0.5000 0.0000 0.0000 Tb
```

## Properties
- total magnetic moment (Bohr magnetons per cell) = 1.6
- polymorph energy (0 for the lowest one) (meV per atom) = 21.8
- space group = No. 123
- energy (eV/atom) = -7.665

---

Please write out number 2 again, unchanged.
HoTm2Mg3CuHg2 | GGA-PBE | relaxed

The structure in POSCAR format:
```
HoTm2Mg3CuHg2
1.0
-3.1899 0.2137 2.5684
-3.8778 -4.9130 -4.4072
4.4098 -2.5965 5.6930
Cu Hg Tm Mg Ho
1 2 2 3 1
Direct
0.0000 0.9988 0.9988 Cu
0.5000 0.3327 0.6680 Hg
0.5000 0.6680 0.3327 Hg
0.0000 0.0000 0.5973 Tm
0.0000 0.5973 0.0000 Tm
0.5000 0.7622 0.7622 Mg
0.5000 0.9996 0.2377 Mg
0.5000 0.2377 0.9996 Mg
0.0000 0.4036 0.4036 Ho
```

## Properties
- total magnetic moment (Bohr magnetons per cell) = 0.0
- space group = No. 38
- energy (eV/atom) = -2.831

---

Question: The lowest energy belongs to which entry?
Answer: MgNbO3

---

Question: total magnetic moment of number 2 (HoTm2Mg3CuHg2)?
Answer: 0.0 Bohr magnetons per cell